MgZrI: optimized geometry, GGA-PBE.

a = 3.803 Å, b = 3.803 Å, c = 11.647 Å
α = 90.00°, β = 90.00°, γ = 90.00°
Space group P4mm (No. 99)
Symmetry-distinct sites (fractional):
Mg (0.000, 0.000, 0.000)
Mg (0.500, 0.500, 0.144)
Zr (0.000, 0.000, 0.275)
Zr (0.500, 0.500, 0.412)
I (0.000, 0.000, 0.547)
I (0.500, 0.500, 0.863)

## Properties
- Crystal system: tetragonal
- Volume: 168.4 Å³/cell
- Polymorph energy (0 for the lowest one): 0 meV per atom
- Total energy: -25.20 eV for the cell shown
- Energy relative to the elements, uncorrected: -0.30 eV per atom